Compound: Cu15Bi
Source: OQMD via LeMat-Bulk
Functional: PBE
Structure: optimized geometry

POSCAR file:
```
Cu15Bi
1.0
7.369 0.000 0.000
0.000 40.560 0.000
0.000 0.000 3.699
Cu Bi
60 4
direct
0.102 0.183 0.000
0.102 0.817 0.500
0.124 0.351 0.000
0.124 0.649 0.500
0.125 0.308 0.500
0.125 0.394 0.500
0.125 0.436 0.000
0.125 0.479 0.500
0.125 0.521 0.000
0.125 0.564 0.500
0.125 0.606 0.000
0.125 0.692 0.000
0.129 0.265 0.000
0.129 0.735 0.500
0.139 0.225 0.500
0.139 0.775 0.000
0.374 0.308 0.000
0.374 0.692 0.500
0.375 0.351 0.500
0.375 0.394 0.000
0.375 0.436 0.500
0.375 0.479 0.000
0.375 0.521 0.500
0.375 0.564 0.000
0.375 0.606 0.500
0.375 0.649 0.000
0.382 0.265 0.500
0.382 0.735 0.000
0.386 0.218 0.000
0.386 0.782 0.500
0.614 0.218 0.500
0.614 0.782 0.000
0.618 0.265 0.000
0.618 0.735 0.500
0.625 0.351 0.000
0.625 0.394 0.500
0.625 0.436 0.000
0.625 0.479 0.500
0.625 0.521 0.000
0.625 0.564 0.500
0.625 0.606 0.000
0.625 0.649 0.500
0.626 0.308 0.500
0.626 0.692 0.000
0.861 0.225 0.000
0.861 0.775 0.500
0.871 0.265 0.500
0.871 0.735 0.000
0.875 0.308 0.000
0.875 0.394 0.000
0.875 0.436 0.500
0.875 0.479 0.000
0.875 0.521 0.500
0.875 0.564 0.000
0.875 0.606 0.500
0.875 0.692 0.500
0.876 0.351 0.500
0.876 0.649 0.000
0.898 0.183 0.500
0.898 0.817 0.000
0.314 0.158 0.500
0.314 0.842 0.000
0.686 0.158 0.000
0.686 0.842 0.500
```

## Properties
Volume (Å³/cell): 1105.6
Offset from the most stable computed form (meV/atom): 8

***

Compound: Cu15Bi
Source: OQMD via LeMat-Bulk
Functional: PBE
Structure: optimized geometry

POSCAR file:
```
Cu15Bi
1.0
5.107 0.000 0.000
0.000 3.577 0.000
-0.009 0.000 34.077
Cu Bi
30 2
direct
0.121 0.250 0.243
0.125 0.250 0.018
0.125 0.250 0.093
0.125 0.250 0.168
0.125 0.250 0.794
0.125 0.250 0.869
0.125 0.250 0.944
0.371 0.750 0.757
0.375 0.750 0.055
0.375 0.750 0.130
0.375 0.750 0.204
0.375 0.750 0.278
0.375 0.750 0.832
0.375 0.750 0.907
0.375 0.750 0.981
0.625 0.250 0.019
0.625 0.250 0.093
0.625 0.250 0.168
0.625 0.250 0.722
0.625 0.250 0.796
0.625 0.250 0.870
0.625 0.250 0.945
0.629 0.250 0.243
0.875 0.750 0.056
0.875 0.750 0.131
0.875 0.750 0.206
0.875 0.750 0.832
0.875 0.750 0.907
0.875 0.750 0.982
0.879 0.750 0.757
0.125 0.250 0.700
0.875 0.750 0.300
```

## Properties
Volume (Å³/cell): 622.5
Offset from the most stable computed form (meV/atom): 14

***

Compound: CuBi
Source: OQMD via LeMat-Bulk
Functional: PBE
Structure: optimized geometry

POSCAR file:
```
CuBi
1.0
0.000 2.803 2.803
2.803 0.000 2.803
2.803 2.803 0.000
Cu Bi
1 1
direct
0.000 0.000 0.000
0.500 0.500 0.500
```

## Properties
Volume (Å³/cell): 44.0
E (eV/cell): -7.275

***

Compound: GdDyCu2Bi4
Source: OQMD via LeMat-Bulk
Functional: PBE
Structure: optimized geometry

POSCAR file:
```
GdDyCu2Bi4
1.0
4.544 0.000 0.000
0.000 4.544 0.000
0.000 0.000 9.650
Gd Dy Cu Bi
1 1 2 4
direct
0.000 0.000 0.000
0.500 0.500 0.530
0.000 0.500 0.762
0.500 0.000 0.762
0.000 0.000 0.596
0.000 0.500 0.265
0.500 0.000 0.265
0.500 0.500 0.930
```

## Properties
Volume (Å³/cell): 199.3
E (eV/cell): -36.283
Total moment (μB per cell): 0.01

***

Compound: NdDyCu2Bi4
Source: OQMD via LeMat-Bulk
Functional: PBE
Structure: optimized geometry

POSCAR file:
```
NdDyCu2Bi4
1.0
4.561 0.000 0.000
0.000 4.561 0.000
0.000 0.000 9.767
Nd Dy Cu Bi
1 1 2 4
direct
0.000 0.000 0.000
0.500 0.500 0.523
0.000 0.500 0.755
0.500 0.000 0.755
0.000 0.000 0.593
0.000 0.500 0.265
0.500 0.000 0.265
0.500 0.500 0.919
```

## Properties
Volume (Å³/cell): 203.2
E (eV/cell): -36.583
Total moment (μB per cell): 0.00

***

Compound: PrDyCu2Bi4
Source: OQMD via LeMat-Bulk
Functional: PBE
Structure: optimized geometry

POSCAR file:
```
PrDyCu2Bi4
1.0
4.581 0.000 0.000
0.000 4.581 0.000
0.000 0.000 9.817
Pr Dy Cu Bi
1 1 2 4
direct
0.000 0.000 0.000
0.500 0.500 0.528
0.000 0.500 0.754
0.500 0.000 0.754
0.000 0.000 0.593
0.000 0.500 0.268
0.500 0.000 0.268
0.500 0.500 0.918
```

## Properties
Volume (Å³/cell): 206.0
E (eV/cell): -36.636
Total moment (μB per cell): 0.00

***

Compound: DyYCu2Bi4
Source: OQMD via LeMat-Bulk
Functional: PBE
Structure: optimized geometry

POSCAR file:
```
DyYCu2Bi4
1.0
4.531 0.000 0.000
0.000 4.531 0.000
0.000 0.000 9.634
Dy Y Cu Bi
1 1 2 4
direct
0.000 0.000 0.000
0.500 0.500 0.476
0.000 0.500 0.237
0.500 0.000 0.237
0.000 0.000 0.404
0.000 0.500 0.738
0.500 0.000 0.738
0.500 0.500 0.071
```

## Properties
Volume (Å³/cell): 197.8
E (eV/cell): -38.005
Total moment (μB per cell): 0.01

***

Compound: Er5Cu2Bi
Source: OQMD via LeMat-Bulk
Functional: PBE
Structure: optimized geometry

POSCAR file:
```
Er5Cu2Bi
1.0
-3.942 3.942 6.450
3.942 -3.942 6.450
3.942 3.942 -6.450
Er Cu Bi
10 4 2
direct
0.000 0.000 0.000
0.014 0.514 0.806
0.208 0.014 0.500
0.292 0.792 0.806
0.486 0.292 0.500
0.500 0.500 0.000
0.514 0.708 0.500
0.708 0.208 0.194
0.792 0.986 0.500
0.986 0.486 0.194
0.133 0.367 0.500
0.367 0.867 0.234
0.633 0.133 0.766
0.867 0.633 0.500
0.250 0.250 0.000
0.750 0.750 0.000
```

## Properties
Volume (Å³/cell): 401.0
E (eV/cell): -74.376
Total moment (μB per cell): 0.02

***

Compound: CuBiSF2
Source: OQMD via LeMat-Bulk
Functional: PBE
Structure: optimized geometry

POSCAR file:
```
CuBiSF2
1.0
1.906 -6.145 0.000
1.906 6.145 0.000
0.000 0.000 7.362
Cu Bi S F
2 2 2 4
direct
0.000 0.000 0.000
0.000 0.000 0.500
0.257 0.743 0.750
0.743 0.257 0.250
0.085 0.915 0.250
0.915 0.085 0.750
0.318 0.682 0.061
0.318 0.682 0.439
0.682 0.318 0.561
0.682 0.318 0.939
```

## Properties
Volume (Å³/cell): 172.5
E (eV/cell): -44.689

***

Compound: CuBiSeF2
Source: OQMD via LeMat-Bulk
Functional: PBE
Structure: optimized geometry

POSCAR file:
```
CuBiSeF2
1.0
1.932 -6.467 0.000
1.932 6.467 0.000
0.000 0.000 7.442
Cu Bi Se F
2 2 2 4
direct
0.000 0.000 0.000
0.000 0.000 0.500
0.249 0.751 0.750
0.751 0.249 0.250
0.093 0.907 0.250
0.907 0.093 0.750
0.313 0.687 0.060
0.313 0.687 0.440
0.687 0.313 0.560
0.687 0.313 0.940
```

## Properties
Volume (Å³/cell): 186.0
E (eV/cell): -42.660

***

Compound: FeCuBi2
Source: OQMD via LeMat-Bulk
Functional: PBE
Structure: optimized geometry

POSCAR file:
```
FeCuBi2
1.0
0.000 3.560 3.560
3.560 0.000 3.560
3.560 3.560 0.000
Fe Cu Bi
1 1 2
direct
0.000 0.000 0.000
0.750 0.750 0.750
0.250 0.250 0.250
0.500 0.500 0.500
```

## Properties
Volume (Å³/cell): 90.3
E (eV/cell): -17.194
Total moment (μB per cell): 2.91

***

Compound: Fe2CuBi
Source: OQMD via LeMat-Bulk
Functional: PBE
Structure: optimized geometry

POSCAR file:
```
Fe2CuBi
1.0
0.000 3.128 3.128
3.128 0.000 3.128
3.128 3.128 0.000
Fe Cu Bi
2 1 1
direct
0.000 0.000 0.000
0.250 0.250 0.250
0.500 0.500 0.500
0.750 0.750 0.750
```

## Properties
Volume (Å³/cell): 61.2
E (eV/cell): -22.509
Total moment (μB per cell): 5.01

***

Compound: Fe3CuBi5
Source: OQMD via LeMat-Bulk
Functional: PBE
Structure: optimized geometry

POSCAR file:
```
Fe3CuBi5
1.0
5.440 0.000 0.000
-2.720 4.711 0.000
0.000 0.000 8.342
Fe Cu Bi
3 1 5
direct
0.000 0.500 0.000
0.500 0.000 0.000
0.500 0.500 0.000
0.000 0.000 0.500
0.000 0.000 0.000
0.333 0.667 0.288
0.333 0.667 0.712
0.667 0.333 0.288
0.667 0.333 0.712
```

## Properties
Volume (Å³/cell): 213.8
E (eV/cell): -45.844
Total moment (μB per cell): 6.96

***

Compound: FeCuGeBi
Source: OQMD via LeMat-Bulk
Functional: PBE
Structure: optimized geometry

POSCAR file:
```
FeCuGeBi
1.0
0.000 3.349 3.349
3.349 0.000 3.349
3.349 3.349 0.000
Fe Cu Ge Bi
1 1 1 1
direct
0.000 0.000 0.000
0.250 0.250 0.250
0.750 0.750 0.750
0.500 0.500 0.500
```

## Properties
Volume (Å³/cell): 75.1
Offset from the most stable computed form (meV/atom): 154
Total moment (μB per cell): 2.69

***

Compound: FeCuGeBi
Source: OQMD via LeMat-Bulk
Functional: PBE
Structure: optimized geometry

POSCAR file:
```
FeCuGeBi
1.0
0.000 3.299 3.299
3.299 0.000 3.299
3.299 3.299 0.000
Fe Cu Ge Bi
1 1 1 1
direct
0.000 0.000 0.000
0.500 0.500 0.500
0.750 0.750 0.750
0.250 0.250 0.250
```

## Properties
Volume (Å³/cell): 71.8
Offset from the most stable computed form (meV/atom): 0
Total moment (μB per cell): 2.32

***

Compound: FeCuHgBi
Source: OQMD via LeMat-Bulk
Functional: PBE
Structure: optimized geometry

POSCAR file:
```
FeCuHgBi
1.0
0.000 3.356 3.356
3.356 0.000 3.356
3.356 3.356 0.000
Fe Cu Hg Bi
1 1 1 1
direct
0.000 0.000 0.000
0.500 0.500 0.500
0.250 0.250 0.250
0.750 0.750 0.750
```

## Properties
Volume (Å³/cell): 75.6
Offset from the most stable computed form (meV/atom): 0
Total moment (μB per cell): 2.61

***

Compound: FeCuHgBi
Source: OQMD via LeMat-Bulk
Functional: PBE
Structure: optimized geometry

POSCAR file:
```
FeCuHgBi
1.0
0.000 3.427 3.427
3.427 0.000 3.427
3.427 3.427 0.000
Fe Cu Hg Bi
1 1 1 1
direct
0.000 0.000 0.000
0.750 0.750 0.750
0.250 0.250 0.250
0.500 0.500 0.500
```

## Properties
Volume (Å³/cell): 80.5
Offset from the most stable computed form (meV/atom): 195
Total moment (μB per cell): 2.94

***

Compound: FeCuBiIr
Source: OQMD via LeMat-Bulk
Functional: PBE
Structure: optimized geometry

POSCAR file:
```
FeCuBiIr
1.0
0.000 3.222 3.222
3.222 0.000 3.222
3.222 3.222 0.000
Fe Cu Bi Ir
1 1 1 1
direct
0.000 0.000 0.000
0.750 0.750 0.750
0.500 0.500 0.500
0.250 0.250 0.250
```

## Properties
Volume (Å³/cell): 66.9
Offset from the most stable computed form (meV/atom): 0
Total moment (μB per cell): 3.63

***

Compound: FeCuNiBi
Source: OQMD via LeMat-Bulk
Functional: PBE
Structure: optimized geometry

POSCAR file:
```
FeCuNiBi
1.0
0.000 3.096 3.096
3.096 0.000 3.096
3.096 3.096 0.000
Fe Cu Ni Bi
1 1 1 1
direct
0.000 0.000 0.000
0.750 0.750 0.750
0.500 0.500 0.500
0.250 0.250 0.250
```

## Properties
Volume (Å³/cell): 59.4
Offset from the most stable computed form (meV/atom): 0
Total moment (μB per cell): 2.38

***

Compound: FeCuNiBi
Source: OQMD via LeMat-Bulk
Functional: PBE
Structure: optimized geometry

POSCAR file:
```
FeCuNiBi
1.0
0.000 3.133 3.133
3.133 0.000 3.133
3.133 3.133 0.000
Fe Cu Ni Bi
1 1 1 1
direct
0.000 0.000 0.000
0.750 0.750 0.750
0.250 0.250 0.250
0.500 0.500 0.500
```

## Properties
Volume (Å³/cell): 61.5
Offset from the most stable computed form (meV/atom): 42
Total moment (μB per cell): 3.19

***

Compound: FeCuBiPd
Source: OQMD via LeMat-Bulk
Functional: PBE
Structure: optimized geometry

POSCAR file:
```
FeCuBiPd
1.0
0.000 3.212 3.212
3.212 0.000 3.212
3.212 3.212 0.000
Fe Cu Bi Pd
1 1 1 1
direct
0.000 0.000 0.000
0.500 0.500 0.500
0.250 0.250 0.250
0.750 0.750 0.750
```

## Properties
Volume (Å³/cell): 66.3
Offset from the most stable computed form (meV/atom): 0
Total moment (μB per cell): 2.84

***

Compound: FeCuBiPt
Source: OQMD via LeMat-Bulk
Functional: PBE
Structure: optimized geometry

POSCAR file:
```
FeCuBiPt
1.0
0.000 3.215 3.215
3.215 0.000 3.215
3.215 3.215 0.000
Fe Cu Bi Pt
1 1 1 1
direct
0.000 0.000 0.000
0.500 0.500 0.500
0.250 0.250 0.250
0.750 0.750 0.750
```

## Properties
Volume (Å³/cell): 66.5
Offset from the most stable computed form (meV/atom): 0
Total moment (μB per cell): 2.77

***

Compound: FeCuReBi
Source: OQMD via LeMat-Bulk
Functional: PBE
Structure: optimized geometry

POSCAR file:
```
FeCuReBi
1.0
0.000 3.190 3.190
3.190 0.000 3.190
3.190 3.190 0.000
Fe Cu Re Bi
1 1 1 1
direct
0.000 0.000 0.000
0.750 0.750 0.750
0.250 0.250 0.250
0.500 0.500 0.500
```

## Properties
Volume (Å³/cell): 64.9
Offset from the most stable computed form (meV/atom): 0
Total moment (μB per cell): 2.80